Below is a geometry-optimized Pr6AgHg2 structure, with properties calculated at the PBE level.

Values from the calculation:
- energy (eV per atom) = -3.731
- total moment (μB/cell) = 0.000

a = 6.6355 Å, b = 8.7804 Å, c = 9.9021 Å
α = 90.00°, β = 81.95°, γ = 90.00°
Last column: nearest neighbours and their distance in Å.
Fractional positions:
1 Pr 0.8466 0.9402 0.2287  1 Ag 3.05, 2 Hg 3.25-3.35
2 Pr 0.8601 0.6567 0.5444  3 Hg 3.13-3.33, 1 Ag 3.17, 1 Pr 3.37
3 Pr 0.8894 0.7126 0.9326  1 Ag 3.18, 3 Hg 3.22-3.51, 1 Pr 3.53
4 Pr 0.6106 0.2126 0.5674  1 Ag 3.18, 3 Hg 3.22-3.51, 1 Pr 3.53
5 Pr 0.6399 0.1567 0.9556  3 Hg 3.13-3.33, 1 Ag 3.17, 1 Pr 3.37
6 Pr 0.6534 0.4402 0.2713  1 Ag 3.05, 2 Hg 3.25-3.35
7 Pr 0.1534 0.0598 0.7713  1 Ag 3.05, 2 Hg 3.25-3.35
8 Pr 0.1399 0.3433 0.4556  3 Hg 3.13-3.33, 1 Ag 3.17, 1 Pr 3.37
9 Pr 0.1106 0.2874 0.0674  1 Ag 3.18, 3 Hg 3.22-3.51, 1 Pr 3.53
10 Pr 0.3894 0.7874 0.4326  1 Ag 3.18, 3 Hg 3.22-3.51, 1 Pr 3.53
11 Pr 0.3601 0.8433 0.0444  3 Hg 3.13-3.33, 1 Ag 3.17, 1 Pr 3.37
12 Pr 0.3466 0.5598 0.7287  1 Ag 3.05, 2 Hg 3.25-3.35
13 Ag 0.5000 0.5000 0.0000  6 Pr 3.05-3.18, 2 Hg 3.39
14 Ag 0.0000 0.0000 0.5000  6 Pr 3.05-3.18, 2 Hg 3.39
15 Hg 0.9055 0.3923 0.7727  7 Pr 3.13-3.40, 1 Ag 3.39
16 Hg 0.5945 0.8923 0.7273  7 Pr 3.13-3.40, 1 Ag 3.39
17 Hg 0.4055 0.1077 0.2727  7 Pr 3.13-3.40, 1 Ag 3.39
18 Hg 0.0945 0.6077 0.2273  7 Pr 3.13-3.40, 1 Ag 3.39

Below is a geometry-optimized Nd2Dy2Te2Se3 structure, with properties calculated at the PBE level.

Values from the calculation:
- energy (eV per atom) = -5.372
- formation energy without anion corrections (eV per atom) = -1.43
- total moment (μB/cell) = 0.000

a = 5.6255 Å, b = 5.6255 Å, c = 8.9567 Å
α = 108.30°, β = 108.30°, γ = 90.00°
Last column: nearest neighbours and their distance in Å.
Fractional positions:
1 Nd 0.1937 0.1937 0.3875  5 Se 2.95-3.11, 1 Te 3.23
2 Nd 0.8063 0.8063 0.6125  5 Se 2.95-3.11, 1 Te 3.23
3 Dy 0.5000 0.0000 0.0000  2 Se 2.81
4 Dy 0.0000 0.5000 0.0000  2 Se 2.81
5 Te 0.6051 0.6051 0.2101  1 Nd 3.23, 4 Dy 3.28, 1 Te 3.37
6 Te 0.3949 0.3949 0.7899  1 Nd 3.23, 4 Dy 3.28, 1 Te 3.37
7 Se 0.0000 0.0000 0.0000  4 Dy 2.81, 2 Nd 3.11
8 Se 0.2500 0.7500 0.5000  4 Nd 2.95
9 Se 0.7500 0.2500 0.5000  4 Nd 2.95

Below is a geometry-optimized Zr2Zn3Au2 structure, with properties calculated at the PBE level.

Values from the calculation:
- energy (eV per atom) = -4.182
- energy relative to the lowest polymorph listed for this composition (eV/atom) = 0.0378
- total moment (μB/cell) = 0.000

a = 2.9794 Å, b = 4.4911 Å, c = 9.9064 Å
α = 103.10°, β = 90.00°, γ = 90.00°
Last column: nearest neighbours and their distance in Å.
Fractional positions:
1 Zr 0.0000 0.8488 0.6977  6 Au 2.91-3.11, 5 Zn 2.92-3.14, 2 Zr 2.98
2 Zr 0.0000 0.1512 0.3023  6 Au 2.91-3.11, 5 Zn 2.92-3.14, 2 Zr 2.98
3 Zn 0.5000 0.5675 0.1349  1 Zn 2.60, 1 Au 2.70
4 Zn 0.5000 0.4325 0.8651  1 Zn 2.60, 1 Au 2.70
5 Zn 0.0000 0.0000 0.0000  2 Zr 2.92, 10 Zn 2.98-2.99
6 Au 0.5000 0.7074 0.4148  1 Zn 2.70, 4 Au 2.78-2.98, 4 Zr 2.91
7 Au 0.5000 0.2926 0.5852  1 Zn 2.70, 4 Au 2.78-2.98, 4 Zr 2.91

Look up the energy of the third one.
-4.182 eV per atom